# 1
# GGA-PBE Ca2LaW, optimized geometry
data_Ca2LaW
_chemical_formula_sum 'Ca2 La1 W1'
_cell_length_a 3.1474
_cell_length_b 5.2901
_cell_length_c 6.4999
_cell_angle_alpha 90.00
_cell_angle_beta 90.00
_cell_angle_gamma 90.00
_space_group_name_H-M_alt 'P m m m'
_space_group_IT_number 47
_space_group_name_Hall '-P 2 2'
loop_
_atom_site_label
_atom_site_type_symbol
_atom_site_fract_x
_atom_site_fract_y
_atom_site_fract_z
Ca1 Ca 0.0000 0.0000 0.2257
La1 La 0.5000 0.5000 0.5000
W1 W 0.5000 0.5000 0.0000
# - Total magnetization: 0.35 μB/cell
# - Energy: -4.6534 eV/atom
# - ΔE_f: 78.88 kJ/mol of atoms


# 2
# GGA-PBE CaLaW2, optimized geometry
data_CaLaW2
_chemical_formula_sum 'Ca1 La1 W2'
_cell_length_a 3.9683
_cell_length_b 3.9683
_cell_length_c 6.5649
_cell_angle_alpha 90.00
_cell_angle_beta 90.00
_cell_angle_gamma 90.00
_space_group_name_H-M_alt 'P 4/m m m'
_space_group_IT_number 123
_space_group_name_Hall '-P 4 2'
loop_
_atom_site_label
_atom_site_type_symbol
_atom_site_fract_x
_atom_site_fract_y
_atom_site_fract_z
Ca1 Ca 0.0000 0.0000 0.0000
La1 La 0.0000 0.0000 0.5000
W1 W 0.5000 0.5000 0.3158
# - Total magnetization: 0.38 μB/cell
# - Energy: -7.1078 eV/atom
# - ΔE_f: 106.24 kJ/mol of atoms